[1]
# Pm6NdEr2Tm3 GGA-PBE optimized geometry
# Space-group type: C2/m, No. 12
# Calculated volume, Å³ per atom: 32.520
# Calculated formation energy, meV/atom: 16
# Electronic total energy, eV/atom: -4.6347
data_Pm6NdEr2Tm3
_chemical_formula_sum 'Pm6 Nd1 Er2 Tm3'
_cell_length_a 6.227
_cell_length_b 6.227
_cell_length_c 11.803
_cell_angle_alpha 95.03
_cell_angle_beta 95.03
_cell_angle_gamma 119.99
_space_group_name_H-M_alt 'P 1'
_space_group_IT_number 1
_space_group_name_Hall 'P 1'
loop_
_atom_site_label
_atom_site_fract_x
_atom_site_fract_y
_atom_site_fract_z
Pm1 0.081 0.415 0.248
Pm2 0.251 0.251 0.752
Pm3 0.415 0.081 0.248
Pm4 0.585 0.919 0.752
Pm5 0.749 0.749 0.248
Pm6 0.919 0.585 0.752
Nd1 0.500 0.500 0.500
Er1 0.167 0.833 0.500
Er2 0.833 0.167 0.500
Tm1 0.000 0.000 0.000
Tm2 0.333 0.667 0.000
Tm3 0.667 0.333 0.000

[2]
# Ti5InCo4 GGA-PBE optimized geometry
# Space-group type: P4/mmm, No. 123
# Calculated volume, Å³ per atom: 14.332
# Calculated formation energy, meV/atom: -336
# Electronic total energy, eV/atom: -7.3992
data_Ti5InCo4
_chemical_formula_sum 'Ti5 In1 Co4'
_cell_length_a 2.957
_cell_length_b 2.957
_cell_length_c 16.389
_cell_angle_alpha 90.00
_cell_angle_beta 90.00
_cell_angle_gamma 90.00
_space_group_name_H-M_alt 'P 1'
_space_group_IT_number 1
_space_group_name_Hall 'P 1'
loop_
_atom_site_label
_atom_site_fract_x
_atom_site_fract_y
_atom_site_fract_z
Ti1 0.000 0.000 0.000
Ti2 0.000 0.000 0.181
Ti3 0.000 0.000 0.364
Ti4 0.000 0.000 0.636
Ti5 0.000 0.000 0.819
In1 0.500 0.500 0.500
Co1 0.500 0.500 0.089
Co2 0.500 0.500 0.267
Co3 0.500 0.500 0.733
Co4 0.500 0.500 0.911

[3]
# Hf3NbSb GGA-PBE optimized geometry
# Offset from the most stable computed form, eV per atom: 0.0000
# Space-group type: C2/m, No. 12
# Calculated volume, Å³ per atom: 21.142
# Electronic total energy, eV/atom: -9.0613
data_Hf3NbSb
_chemical_formula_sum 'Hf6 Nb2 Sb2'
_cell_length_a 8.348
_cell_length_b 8.348
_cell_length_c 7.338
_cell_angle_alpha 102.64
_cell_angle_beta 102.64
_cell_angle_gamma 25.10
_space_group_name_H-M_alt 'P 1'
_space_group_IT_number 1
_space_group_name_Hall 'P 1'
loop_
_atom_site_label
_atom_site_fract_x
_atom_site_fract_y
_atom_site_fract_z
Hf1 0.099 0.099 0.039
Hf2 0.100 0.100 0.559
Hf3 0.296 0.296 0.660
Hf4 0.704 0.704 0.340
Hf5 0.900 0.900 0.441
Hf6 0.901 0.901 0.961
Nb1 0.302 0.302 0.140
Nb2 0.698 0.698 0.860
Sb1 0.496 0.496 0.747
Sb2 0.504 0.504 0.253

[4]
# CaSc2Rh GGA-PBE optimized geometry
# Offset from the most stable computed form, eV per atom: 0.1068
# Space-group type: R-3m, No. 166
# Calculated volume, Å³ per atom: 27.757
# Calculated formation energy, meV/atom: -286
# Electronic total energy, eV/atom: -5.7901
data_CaSc2Rh
_chemical_formula_sum 'Ca1 Sc2 Rh1'
_cell_length_a 8.703
_cell_length_b 8.703
_cell_length_c 8.703
_cell_angle_alpha 25.93
_cell_angle_beta 25.93
_cell_angle_gamma 25.93
_space_group_name_H-M_alt 'P 1'
_space_group_IT_number 1
_space_group_name_Hall 'P 1'
loop_
_atom_site_label
_atom_site_fract_x
_atom_site_fract_y
_atom_site_fract_z
Ca1 0.000 0.000 0.000
Sc1 0.218 0.218 0.218
Sc2 0.782 0.782 0.782
Rh1 0.500 0.500 0.500